DFT (PBE) results for an optimized crystal structure of Pr2ErTe2N2.

Properties
Formation energy (no corrections) (eV per atom): -1.250
SG: I4/mmm, No. 139

a = 4.423 Å, b = 4.423 Å, c = 16.522 Å
α = 90.00°, β = 90.00°, γ = 90.00°
Atoms (fractional coordinates):
1 Pr 0.000 0.000 0.103
2 Pr 0.000 0.000 0.897
3 Pr 0.500 0.500 0.397
4 Pr 0.500 0.500 0.603
5 Er 0.000 0.000 0.500
6 Er 0.500 0.500 0.000
7 Te 0.000 0.000 0.315
8 Te 0.000 0.000 0.685
9 Te 0.500 0.500 0.185
10 Te 0.500 0.500 0.815
11 N 0.000 0.500 0.000
12 N 0.000 0.500 0.500
13 N 0.500 0.000 0.000
14 N 0.500 0.000 0.500